[1]
Cs2VCuCl6 | PBE | optimized geometry

a b c (Å): 7.7700 7.7700 9.4043
angles (deg): 90.00 90.00 90.00
Last column: nearest neighbours and their distance in Å.
Space group I4/mmm (No. 139)
Unique sites:
Cs  0.0000  0.5000  0.2500 (multiplicity 4)  12 Cl 3.64-3.89
V  0.0000  0.0000  0.0000 (multiplicity 2)  6 Cl 2.37-2.53
Cu  0.0000  0.0000  0.5000 (multiplicity 2)  2 Cl 2.17
Cl  0.0000  0.0000  0.2690 (multiplicity 4)  1 Cu 2.17
Cl  0.2160  0.2160  0.0000 (multiplicity 8)  1 V 2.37

The raw formation energy is -1372 meV per atom. The value obtained for the total energy is -3.97 eV per atom. The polymorph energy (0 for the lowest one) comes out at 12.5 meV per atom.

[2]
Cs2YCu2Cl6 | PBE | optimized geometry

a b c (Å): 12.9369 7.3843 8.6004
angles (deg): 90.00 122.84 90.00
Last column: nearest neighbours and their distance in Å.
Space group C2/m (No. 12)
Unique sites:
Cs  0.2110  0.0000  0.1970 (multiplicity 4)  9 Cl 3.54-3.92
Y  0.0000  0.0000  0.5000 (multiplicity 2)  6 Cl 2.66
Cu  0.0415  0.5000  0.1642 (multiplicity 4)  3 Cl 2.40-2.43, 1 Cu 2.42
Cl  0.0379  0.2459  0.7523 (multiplicity 8)  1 Cu 2.43, 1 Y 2.66
Cl  0.2392  0.0000  0.6299 (multiplicity 4)  1 Cu 2.40, 1 Y 2.66

The raw formation energy is -1459 meV per atom. The value obtained for the total energy is -3.95 eV per atom.

[3]
Cs2YCuCl6 | PBE | optimized geometry

a b c (Å): 10.5221 10.5221 10.5221
angles (deg): 90.00 90.00 90.00
Last column: nearest neighbours and their distance in Å.
Space group Fm-3m (No. 225)
Unique sites:
Cs  0.2500  0.2500  0.2500 (multiplicity 8)  12 Cl 3.72
Y  0.0000  0.0000  0.0000 (multiplicity 4)  6 Cl 2.66
Cu  0.0000  0.0000  0.5000 (multiplicity 4)  6 Cl 2.60
Cl  0.0000  0.0000  0.2526 (multiplicity 24)  1 Cu 2.60, 1 Y 2.66

The raw formation energy is -1800 meV per atom. The value obtained for the total energy is -4.13 eV per atom.

[4]
Cs3YCu2Cl9 | PBE | optimized geometry

a b c (Å): 7.3255 7.3255 9.0418
angles (deg): 90.00 90.00 120.00
Last column: nearest neighbours and their distance in Å.
Space group P-3m1 (No. 164)
Unique sites:
Cs  0.0000  0.0000  0.0000 (multiplicity 1)  12 Cl 3.66-3.68
Cs  0.3333  0.6667  0.6720 (multiplicity 2)  12 Cl 3.64-3.73
Y  0.0000  0.0000  0.5000 (multiplicity 1)  6 Cl 2.65
Cu  0.3333  0.6667  0.1293 (multiplicity 2)  3 Cl 2.42
Cl  0.0000  0.5000  0.0000 (multiplicity 3)  2 Cu 2.42
Cl  0.1700  0.3399  0.3296 (multiplicity 6)  1 Y 2.65, 1 Cu 2.75

The raw formation energy is -1581 meV per atom. The value obtained for the total energy is -3.84 eV per atom.

[5]
Cs2ZnCu2Cl6 | PBE | optimized geometry

a b c (Å): 12.7457 7.2476 7.6660
angles (deg): 90.00 118.96 90.00
Last column: nearest neighbours and their distance in Å.
Space group C2/m (No. 12)
Unique sites:
Cs  0.2251  0.0000  0.1915 (multiplicity 4)  10 Cl 3.61-3.85, 1 Cu 3.61
Zn  0.0000  0.0000  0.5000 (multiplicity 2)  6 Cl 2.49-2.60
Cu  0.0837  0.5000  0.2743 (multiplicity 4)  3 Cl 2.24
Cl  0.0119  0.2356  0.7448 (multiplicity 8)  1 Cu 2.24, 1 Zn 2.49
Cl  0.2330  0.0000  0.6961 (multiplicity 4)  1 Cu 2.24

The raw formation energy is -1172 meV per atom. The value obtained for the total energy is -3.20 eV per atom.

[6]
CsZnCu2Cl8 | PBE | optimized geometry

a b c (Å): 6.3940 6.3940 9.4717
angles (deg): 90.00 90.00 120.00
Last column: nearest neighbours and their distance in Å.
Space group P-3 (No. 147)
Unique sites:
Cs  0.0000  0.0000  0.0000 (multiplicity 1)  12 Cl 3.73-3.83
Zn  0.0000  0.0000  0.5000 (multiplicity 1)  6 Cl 2.48
Cu  0.3333  0.6667  0.7091 (multiplicity 2)  4 Cl 2.21-2.25
Cl  0.0029  0.3135  0.6552 (multiplicity 6)  1 Cu 2.25, 1 Zn 2.48
Cl  0.3333  0.6667  0.9425 (multiplicity 2)  1 Cu 2.21

The raw formation energy is -775 meV per atom. The value obtained for the total energy is -2.87 eV per atom.